Record 1
The following is a PBE-GGA calculation of a geometry-optimized Er5ZnFe2 structure, from the Alexandria database.

The structure in CIF format:
```
data_Er5ZnFe2
_symmetry_space_group_name_H-M 'I 4/m c m'
_symmetry_Int_Tables_number 140
_symmetry_space_group_name_Hall '-I 4 2c'
_cell_length_a 7.331
_cell_length_b 7.331
_cell_length_c 13.716
_cell_angle_alpha 90.00
_cell_angle_beta 90.00
_cell_angle_gamma 90.00
loop_
_atom_site_label
_atom_site_type_symbol
_atom_site_fract_x
_atom_site_fract_y
_atom_site_fract_z
_atom_site_occupancy
Er1 Er 0.000 0.000 0.000 1
Er2 Er 0.174 0.326 0.139 1
Zn1 Zn 0.000 0.000 0.250 1
Fe1 Fe 0.108 0.392 0.500 1
```

Summary:
- formation energy from the elements (meV/atom) = -102.2


Record 2
The following is a PBE-GGA calculation of a geometry-optimized Er12ZnFe6 structure, from the Alexandria database.

The structure in CIF format:
```
data_Er12ZnFe6
_symmetry_space_group_name_H-M 'I m -3'
_symmetry_Int_Tables_number 204
_symmetry_space_group_name_Hall '-I 2 2 3'
_cell_length_a 9.546
_cell_length_b 9.546
_cell_length_c 9.546
_cell_angle_alpha 90.00
_cell_angle_beta 90.00
_cell_angle_gamma 90.00
loop_
_atom_site_label
_atom_site_type_symbol
_atom_site_fract_x
_atom_site_fract_y
_atom_site_fract_z
_atom_site_occupancy
Er1 Er 0.000 0.194 0.297 1
Zn1 Zn 0.000 0.000 0.000 1
Fe1 Fe 0.000 0.389 0.500 1
```

Summary:
- formation energy from the elements (meV/atom) = -54.6


Record 3
The following is a PBE-GGA calculation of a geometry-optimized ErZnFe structure, from the Alexandria database.

The structure in CIF format:
```
data_ErZnFe
_symmetry_space_group_name_H-M 'C 1 2/m 1'
_symmetry_Int_Tables_number 12
_symmetry_space_group_name_Hall '-C 2y'
_cell_length_a 11.454
_cell_length_b 3.953
_cell_length_c 5.037
_cell_angle_alpha 90.00
_cell_angle_beta 103.35
_cell_angle_gamma 90.00
loop_
_atom_site_label
_atom_site_type_symbol
_atom_site_fract_x
_atom_site_fract_y
_atom_site_fract_z
_atom_site_occupancy
Er1 Er 0.122 0.000 0.313 1
Zn1 Zn 0.086 0.500 0.756 1
Fe1 Fe 0.223 0.000 0.884 1
```

Summary:
- formation energy from the elements (meV/atom) = -141.9


Number 1: size of the total moment 4.40 μB/cell. Number 2: size of the total moment 11.04 μB/cell. Number 3: size of the total moment 4.86 μB/cell.